Entry from the Alexandria database: crystalline AlNi3 at its relaxed geometry (PBE-GGA).

Results
- D(E_F) (states/eV/cell) = 6.4
- symmetry = No. 139
- energy of formation from the pure elements (eV/f.u.) = -1.60
- spin magnetization (μB/f.u.) = 0.025
- DFT total energy (eV per atom) = -5.672

Cell lengths 4.273, 4.273, 4.273 Å; angles 129.35, 129.36, 74.44 degrees
Positions (direct):
Ni 0.250 0.250 0.000
Al 0.500 0.000 0.500
Ni 0.750 0.750 0.000
Ni 0.000 0.500 0.500

Entry from the Alexandria database: crystalline CoMo2I2 at its relaxed geometry (PBE-GGA).

Results
- D(E_F) (states/eV/cell) = 5.4
- ΔE_f (raw) (meV per atom) = 1204
- energy above the most stable polymorph in this dataset (eV per atom) = 0.1345
- symmetry = No. 139
- spin magnetization (μB/f.u.) = 2.785
- DFT total energy (eV per atom) = -5.170

Cell lengths 5.461, 5.461, 5.415 Å; angles 59.72, 59.72, 90.00 degrees
Positions (direct):
Co 0.000 0.000 0.000
I 0.250 0.750 0.500
Mo 0.353 0.353 0.294
I 0.750 0.250 0.500
Mo 0.647 0.647 0.706